[1]
A relaxed structure of CaZn7Ag5, computed with PBE-GGA.

```
CaZn7Ag5
1.0
-0.801 -4.219 3.455
-2.872 -5.636 -3.152
5.550 -4.360 0.359
Zn Ca Ag
7 1 5
direct
0.988 0.367 0.657
0.329 0.171 0.171
0.641 0.359 0.359
0.501 0.770 0.229
0.988 0.657 0.367
0.354 0.646 0.646
0.501 0.229 0.770
0.007 0.993 0.993
0.999 0.017 0.490
0.494 0.017 0.490
0.999 0.490 0.017
0.705 0.795 0.795
0.494 0.490 0.017
```

calculated total energy = -2.01 eV per atom
symmetry = Imm2, No. 44
E_form = -7 kJ per mole of atoms
size of the total moment = 0.00 μB/cell
crystal system = orthorhombic

---

[2]
A relaxed structure of BeNbH2, computed with PBE-GGA.

```
BeNbH2
1.0
-1.754 3.411 0.343
-0.390 0.184 -3.827
-5.076 -0.292 -1.434
Be H Nb
2 4 2
direct
0.500 0.500 0.000
0.250 0.750 0.500
0.194 0.625 0.250
0.375 0.444 0.750
0.556 0.125 0.250
0.875 0.806 0.750
0.000 0.000 0.000
0.750 0.250 0.500
```

calculated total energy = -5.01 eV per atom
symmetry = I-42d, No. 122
energy above the most stable polymorph in this dataset = 0.000 eV/atom
size of the total moment = 0.00 μB/cell
crystal system = tetragonal

---

[3]
A relaxed structure of Sr8Zn2Ir, computed with PBE-GGA.

```
Sr8Zn2Ir
1.0
7.321 0.000 -3.487
-0.056 8.209 -0.117
-0.515 -0.089 8.347
Sr Zn Ir
8 2 1
direct
0.296 0.608 0.592
0.292 0.760 0.087
0.205 0.240 0.913
0.195 0.111 0.389
0.704 0.392 0.408
0.708 0.240 0.913
0.795 0.760 0.087
0.805 0.889 0.611
0.912 0.545 0.824
0.088 0.455 0.176
0.000 0.000 0.000
```

calculated total energy = -2.36 eV per atom
symmetry = C2/m, No. 12
E_form = -10 kJ per mole of atoms
size of the total moment = 0.00 μB/cell
crystal system = monoclinic

---

[4]
A relaxed structure of BeFe2Os, computed with PBE-GGA.

```
BeFe2Os
1.0
-2.084 2.686 -1.330
-0.949 0.431 2.355
2.599 3.568 3.134
Fe Os Be
2 1 1
direct
0.000 0.490 0.516
0.000 0.010 0.984
0.500 0.250 0.250
0.500 0.750 0.750
```

calculated total energy = -7.94 eV per atom
symmetry = P2/m, No. 10
E_form = 3 kJ per mole of atoms
size of the total moment = 2.77 μB/cell
crystal system = monoclinic

---

[5]
A relaxed structure of Y2AlCo, computed with PBE-GGA.

```
Y2AlCo
1.0
-0.693 -0.249 4.210
-1.175 -3.693 -0.412
4.509 -3.544 0.532
Al Y Co
1 2 1
direct
0.000 0.687 0.501
0.500 0.264 0.346
0.000 0.981 0.913
0.500 0.568 0.740
```

calculated total energy = -6.21 eV per atom
symmetry = Pm, No. 6
E_form = -26 kJ per mole of atoms
size of the total moment = 0.00 μB/cell
crystal system = monoclinic

---

[6]
A relaxed structure of HoTm3Mg12, computed with PBE-GGA.

```
HoTm3Mg12
1.0
4.596 0.000 0.000
0.000 4.596 0.000
0.000 0.000 18.901
Mg Ho Tm
12 1 3
direct
0.500 0.500 0.251
0.500 0.000 0.625
0.000 0.500 0.375
0.500 0.500 0.749
0.500 0.500 0.000
0.500 0.500 0.500
0.000 0.500 0.874
0.000 0.500 0.126
0.500 0.000 0.375
0.000 0.500 0.625
0.500 0.000 0.126
0.500 0.000 0.874
0.000 0.000 0.000
0.000 0.000 0.250
0.000 0.000 0.500
0.000 0.000 0.750
```

calculated total energy = -2.37 eV per atom
symmetry = P4/mmm, No. 123
E_form = -4 kJ per mole of atoms
size of the total moment = 0.00 μB/cell
crystal system = tetragonal